Entry 1:
This record from Alexandria via LeMat-Bulk describes a relaxed Nd2GdY crystal. The functional is PBE.

Geometry as POSCAR:
```
Nd2GdY
1.0
5.103 0.000 0.000
0.000 5.145 0.000
0.000 0.000 5.145
Y Gd Nd
1 1 2
Direct
0.500 0.000 0.000
0.500 0.500 0.500
0.000 0.000 0.500
0.000 0.500 0.000
```

Computed properties:
The value obtained for the energy above the most stable polymorph in this dataset is 0 meV per atom. For the total energy, the calculation gives -7.508 eV per atom. As for the symmetry: P4/mmm, No. 123. Its formation energy from the elements is 0.01 eV per atom.


Entry 2:
This record from Alexandria via LeMat-Bulk describes a relaxed TcIrRu2 crystal. The functional is PBE.

Geometry as POSCAR:
```
TcIrRu2
1.0
0.000 3.079 3.079
3.079 0.000 3.079
3.079 3.079 0.000
Ru Ir Tc
2 1 1
Direct
0.250 0.250 0.250
0.750 0.750 0.750
0.500 0.500 0.500
0.000 0.000 0.000
```

Computed properties:
The value obtained for the energy above the most stable polymorph in this dataset is 614 meV per atom. For the total energy, the calculation gives -8.967 eV per atom. As for the symmetry: Fm-3m, No. 225. Its formation energy from the elements is 0.48 eV per atom.


Entry 3:
This record from Alexandria via LeMat-Bulk describes a relaxed Na2PaCl6 crystal. The functional is PBE.

Geometry as POSCAR:
```
Na2PaCl6
1.0
-6.127 0.289 -2.383
1.747 -3.944 -4.969
-3.140 -10.032 6.858
Na Pa Cl
4 2 12
Direct
0.500 0.500 0.334
0.500 0.500 0.666
0.000 0.000 0.166
0.000 0.000 0.834
0.500 0.500 0.000
0.000 0.000 0.500
0.693 0.693 0.156
0.693 0.693 0.844
0.713 0.713 0.500
0.787 0.213 0.000
0.807 0.193 0.344
0.807 0.193 0.656
0.193 0.807 0.344
0.193 0.807 0.656
0.213 0.787 0.000
0.287 0.287 0.500
0.307 0.307 0.156
0.307 0.307 0.844
```

Computed properties:
For the total energy, the calculation gives -4.456 eV per atom. For the formation energy from raw total energies, the calculation gives -1876 meV/atom. As for the symmetry: P4_2/mnm, No. 136.


Entry 4:
This record from Alexandria via LeMat-Bulk describes a relaxed ZrV2Zn2 crystal. The functional is PBE.

Geometry as POSCAR:
```
ZrV2Zn2
1.0
-5.373 -0.414 -4.822
4.830 0.003 -5.382
0.131 -3.041 0.116
Zn Zr V
4 2 4
Direct
0.380 0.880 0.000
0.880 0.620 0.000
0.620 0.120 0.000
0.120 0.380 0.000
0.000 0.000 0.000
0.500 0.500 0.000
0.178 0.678 0.500
0.678 0.822 0.500
0.822 0.322 0.500
0.322 0.178 0.500
```

Computed properties:
The value obtained for the energy above the most stable polymorph in this dataset is 95 meV per atom. For the total energy, the calculation gives -5.715 eV per atom. As for the symmetry: P4/mbm, No. 127. Its formation energy from the elements is 0.15 eV per atom.


Entry 5:
This record from Alexandria via LeMat-Bulk describes a relaxed Mn2ZnCrN crystal. The functional is PBE.

Geometry as POSCAR:
```
Mn2ZnCrN
1.0
-3.612 -0.754 -0.849
0.927 -0.322 -3.657
0.673 -3.790 0.505
Cr Zn Mn N
1 1 2 1
Direct
0.000 0.000 0.500
0.500 0.500 0.500
0.000 0.500 0.000
0.500 0.000 0.000
0.000 0.000 0.000
```

Computed properties:
For the total energy, the calculation gives -7.682 eV per atom. For the formation energy from raw total energies, the calculation gives -169 meV/atom. As for the symmetry: P4/mmm, No. 123.


Entry 6:
This record from Alexandria via LeMat-Bulk describes a relaxed LiDy2PaAs4 crystal. The functional is PBE.

Geometry as POSCAR:
```
LiDy2PaAs4
1.0
-2.371 2.916 -1.742
0.499 -3.252 -6.121
-5.662 -2.535 3.462
Li Dy Pa As
1 2 1 4
Direct
0.500 0.500 0.000
0.500 0.000 0.500
0.000 0.500 0.500
0.000 0.000 0.000
0.500 0.250 0.242
0.500 0.750 0.758
0.000 0.243 0.755
0.000 0.757 0.245
```

Computed properties:
For the total energy, the calculation gives -6.016 eV per atom. As for the symmetry: P2/m, No. 10. Its formation energy from the elements is -1.11 eV per atom.